No. 1
VASP calculation (PBE-GGA) on a relaxed ReF crystal.

Summary:
- Calculated total energy: -5.63 eV per atom
- Total magnetic moment: 1.51 μB per formula unit

CIF file:
```
data_ReF
_chemical_formula_sum 'Re1 F1'
_symmetry_space_group_name_H-M 'P 1'
_symmetry_Int_Tables_number 1
_symmetry_space_group_name_Hall 'P 1'
_cell_length_a 3.365
_cell_length_b 3.365
_cell_length_c 3.365
_cell_angle_alpha 60.00
_cell_angle_beta 60.00
_cell_angle_gamma 60.00
loop_
_atom_site_label
_atom_site_type_symbol
_atom_site_fract_x
_atom_site_fract_y
_atom_site_fract_z
Re1 Re 0.000 0.000 0.000
F1 F 0.500 0.500 0.500
```

No. 2
VASP calculation (PBE-GGA) on a relaxed Tc2PbAu crystal.

Summary:
- Formation enthalpy at 0 K: 2.415 eV per formula unit
- Total magnetic moment: 0.00 μB per formula unit

CIF file:
```
data_Tc2PbAu
_chemical_formula_sum 'Tc2 Pb1 Au1'
_symmetry_space_group_name_H-M 'P 1'
_symmetry_Int_Tables_number 1
_symmetry_space_group_name_Hall 'P 1'
_cell_length_a 4.995
_cell_length_b 4.995
_cell_length_c 4.995
_cell_angle_alpha 130.88
_cell_angle_beta 130.88
_cell_angle_gamma 72.00
loop_
_atom_site_label
_atom_site_type_symbol
_atom_site_fract_x
_atom_site_fract_y
_atom_site_fract_z
Tc1 Tc 0.000 0.000 0.000
Tc2 Tc 0.750 0.250 0.500
Pb1 Pb 0.500 0.500 0.000
Au1 Au 0.250 0.750 0.500
```

No. 3
VASP calculation (PBE-GGA) on a relaxed LaCuSb2 crystal.

Summary:
- Calculated total energy: -4.48 eV per atom
- Total magnetic moment: 0.00 μB per formula unit

CIF file:
```
data_LaCuSb2
_chemical_formula_sum 'La1 Cu1 Sb2'
_symmetry_space_group_name_H-M 'P 1'
_symmetry_Int_Tables_number 1
_symmetry_space_group_name_Hall 'P 1'
_cell_length_a 3.380
_cell_length_b 3.380
_cell_length_c 9.234
_cell_angle_alpha 90.00
_cell_angle_beta 90.00
_cell_angle_gamma 90.00
loop_
_atom_site_label
_atom_site_type_symbol
_atom_site_fract_x
_atom_site_fract_y
_atom_site_fract_z
La1 La 0.000 0.000 0.000
Cu1 Cu 0.500 0.500 0.769
Sb1 Sb 0.000 0.000 0.616
Sb2 Sb 0.500 0.500 0.260
```

No. 4
VASP calculation (PBE-GGA) on a relaxed NaAsHSe2 crystal.

Summary:
- Calculated total energy: -2.04 eV per atom
- Total magnetic moment: 0.41 μB per formula unit

CIF file:
```
data_NaAsHSe2
_chemical_formula_sum 'Na1 As1 H1 Se2'
_symmetry_space_group_name_H-M 'P 1'
_symmetry_Int_Tables_number 1
_symmetry_space_group_name_Hall 'P 1'
_cell_length_a 5.174
_cell_length_b 5.174
_cell_length_c 5.253
_cell_angle_alpha 90.00
_cell_angle_beta 90.00
_cell_angle_gamma 90.00
loop_
_atom_site_label
_atom_site_type_symbol
_atom_site_fract_x
_atom_site_fract_y
_atom_site_fract_z
Na1 Na 0.000 0.000 0.000
As1 As 0.000 0.000 0.500
H1 H 0.500 0.500 0.500
Se1 Se 0.000 0.500 0.000
Se2 Se 0.500 0.000 0.000
```

No. 5
VASP calculation (PBE-GGA) on a relaxed PrZnGa2Cu4 crystal.

Summary:
- Formation enthalpy at 0 K: -1.705 eV per formula unit
- Total magnetic moment: 0.00 μB per formula unit

CIF file:
```
data_PrZnGa2Cu4
_chemical_formula_sum 'Pr1 Zn1 Ga2 Cu4'
_symmetry_space_group_name_H-M 'P 1'
_symmetry_Int_Tables_number 1
_symmetry_space_group_name_Hall 'P 1'
_cell_length_a 8.950
_cell_length_b 8.950
_cell_length_c 8.950
_cell_angle_alpha 27.10
_cell_angle_beta 27.10
_cell_angle_gamma 27.10
loop_
_atom_site_label
_atom_site_type_symbol
_atom_site_fract_x
_atom_site_fract_y
_atom_site_fract_z
Pr1 Pr 0.000 0.000 0.000
Zn1 Zn 0.500 0.500 0.500
Ga1 Ga 0.244 0.244 0.244
Ga2 Ga 0.756 0.756 0.756
Cu1 Cu 0.136 0.136 0.136
Cu2 Cu 0.406 0.406 0.406
Cu3 Cu 0.594 0.594 0.594
Cu4 Cu 0.864 0.864 0.864
```

No. 6
VASP calculation (PBE-GGA) on a relaxed Mg5Cu crystal.

Summary:
- Formation enthalpy at 0 K: 2.139 eV per formula unit
- Total magnetic moment: 0.00 μB per formula unit

CIF file:
```
data_Mg5Cu
_chemical_formula_sum 'Mg5 Cu1'
_symmetry_space_group_name_H-M 'P 1'
_symmetry_Int_Tables_number 1
_symmetry_space_group_name_Hall 'P 1'
_cell_length_a 5.584
_cell_length_b 5.584
_cell_length_c 5.196
_cell_angle_alpha 90.00
_cell_angle_beta 90.00
_cell_angle_gamma 120.00
loop_
_atom_site_label
_atom_site_type_symbol
_atom_site_fract_x
_atom_site_fract_y
_atom_site_fract_z
Mg1 Mg 0.000 0.500 0.000
Mg2 Mg 0.333 0.667 0.500
Mg3 Mg 0.500 0.000 0.000
Mg4 Mg 0.500 0.500 0.000
Mg5 Mg 0.667 0.333 0.500
Cu1 Cu 0.000 0.000 0.500
```

No. 7
VASP calculation (PBE-GGA) on a relaxed AlCrAs crystal.

Summary:
- Formation enthalpy at 0 K: -0.072 eV per formula unit
- Total magnetic moment: 0.00 μB per formula unit

CIF file:
```
data_AlCrAs
_chemical_formula_sum 'Al2 Cr2 As2'
_symmetry_space_group_name_H-M 'P 1'
_symmetry_Int_Tables_number 1
_symmetry_space_group_name_Hall 'P 1'
_cell_length_a 4.786
_cell_length_b 3.945
_cell_length_c 5.299
_cell_angle_alpha 90.00
_cell_angle_beta 108.01
_cell_angle_gamma 90.00
loop_
_atom_site_label
_atom_site_type_symbol
_atom_site_fract_x
_atom_site_fract_y
_atom_site_fract_z
Al1 Al 0.132 0.250 0.414
Al2 Al 0.868 0.750 0.586
Cr1 Cr 0.118 0.250 0.921
Cr2 Cr 0.882 0.750 0.079
As1 As 0.407 0.750 0.187
As2 As 0.593 0.250 0.813
```

No. 8
VASP calculation (PBE-GGA) on a relaxed HfTa3Pb crystal.

Summary:
- Formation enthalpy at 0 K: 10.526 eV per formula unit
- Total magnetic moment: 0.00 μB per formula unit

CIF file:
```
data_HfTa3Pb
_chemical_formula_sum 'Hf1 Ta3 Pb1'
_symmetry_space_group_name_H-M 'P 1'
_symmetry_Int_Tables_number 1
_symmetry_space_group_name_Hall 'P 1'
_cell_length_a 5.072
_cell_length_b 5.072
_cell_length_c 5.072
_cell_angle_alpha 90.00
_cell_angle_beta 90.00
_cell_angle_gamma 90.00
loop_
_atom_site_label
_atom_site_type_symbol
_atom_site_fract_x
_atom_site_fract_y
_atom_site_fract_z
Hf1 Hf 0.000 0.000 0.000
Ta1 Ta 0.000 0.500 0.500
Ta2 Ta 0.500 0.000 0.500
Ta3 Ta 0.500 0.500 0.000
Pb1 Pb 0.500 0.500 0.500
```